(1)
A geometry-optimized DyCuSi2Ni5 structure. Source: Alexandria via LeMat-Bulk, functional PBE-GGA.

Computed properties:
Formation energy without anion corrections, eV/atom: -0.220

Lattice parameters (Å, degrees): 3.772 3.772 8.678 90.00 90.00 90.00
Atoms (fractional coordinates):
1 Dy 0.000 0.000 0.500
2 Cu 0.000 0.000 0.000
3 Si 0.500 0.500 0.131
4 Si 0.500 0.500 0.869
5 Ni 0.000 0.500 0.267
6 Ni 0.500 0.000 0.267
7 Ni 0.000 0.500 0.733
8 Ni 0.500 0.000 0.733
9 Ni 0.500 0.500 0.500



(2)
A geometry-optimized Dy2CuSi3Ni12 structure. Source: Alexandria via LeMat-Bulk, functional PBE-GGA.

Computed properties:
Formation energy without anion corrections, eV/atom: -0.148

Lattice parameters (Å, degrees): 6.242 6.242 6.242 84.55 84.55 84.55
Atoms (fractional coordinates):
1 Dy 0.655 0.655 0.655
2 Dy 0.345 0.345 0.345
3 Cu 0.000 0.000 0.000
4 Si 0.500 0.000 0.000
5 Si 0.000 0.500 0.000
6 Si 0.000 0.000 0.500
7 Ni 0.386 0.386 0.901
8 Ni 0.813 0.813 0.297
9 Ni 0.297 0.813 0.813
10 Ni 0.901 0.386 0.386
11 Ni 0.813 0.297 0.813
12 Ni 0.386 0.901 0.386
13 Ni 0.614 0.614 0.099
14 Ni 0.187 0.187 0.703
15 Ni 0.703 0.187 0.187
16 Ni 0.099 0.614 0.614
17 Ni 0.187 0.703 0.187
18 Ni 0.614 0.099 0.614



(3)
A geometry-optimized DyCuNiSn structure. Source: Alexandria via LeMat-Bulk, functional PBE-GGA.

Computed properties:
ΔH_f (0 K), eV per atom: -0.438

Lattice parameters (Å, degrees): 4.630 4.630 4.630 60.00 60.00 60.00
Atoms (fractional coordinates):
1 Ni 0.000 0.000 0.000
2 Sn 0.250 0.250 0.250
3 Cu 0.500 0.500 0.500
4 Dy 0.750 0.750 0.750



| no. | DOS(E_F) (states/eV per cell) |
| --- | --- |
| 1 | 2.75 |
| 2 | 12.15 |
| 3 | 2.33 |